# 1
First-principles (PBE) data for a relaxed structure of Cs2MgAg2F6, as listed in the Alexandria database.

Computed properties:
The density of states at the Fermi level comes out at 0.00 states/eV/atom. The uncorrected formation energy is -25.1 eV/f.u. As for the space-group type: No. 166.

Cell: 6.911 6.911 6.911 Å, 57.33 57.33 57.33°
Element x y z (fractional)
Cs (0.221, 0.221, 0.221)
Cs (0.779, 0.779, 0.779)
Mg (0.000, 0.000, 0.000)
Ag (0.417, 0.417, 0.417)
Ag (0.583, 0.583, 0.583)
F (0.207, 0.788, 0.788)
F (0.212, 0.212, 0.793)
F (0.212, 0.793, 0.212)
F (0.788, 0.207, 0.788)
F (0.788, 0.788, 0.207)
F (0.793, 0.212, 0.212)

# 2
First-principles (PBE) data for a relaxed structure of Cs2Al2P2S, as listed in the Alexandria database.

Computed properties:
The density of states at the Fermi level comes out at 0.00 states/eV/atom. The uncorrected formation energy is -5.5 eV/f.u. As for the space-group type: No. 12.

Cell: 13.218 3.999 8.814 Å, 90.00 120.60 90.00°
Element x y z (fractional)
Cs (0.072, 0.000, 0.352)
Cs (0.428, 0.500, 0.648)
Cs (0.572, 0.500, 0.352)
Cs (0.928, 0.000, 0.648)
Al (0.190, 0.500, 0.054)
Al (0.310, 0.000, 0.946)
Al (0.690, 0.000, 0.054)
Al (0.810, 0.500, 0.946)
P (0.203, 0.500, 0.790)
P (0.297, 0.000, 0.210)
P (0.703, 0.000, 0.790)
P (0.797, 0.500, 0.210)
S (0.000, 0.500, 0.000)
S (0.500, 0.000, 0.000)

# 3
First-principles (PBE) data for a relaxed structure of LiHo3Er3Te8, as listed in the Alexandria database.

Computed properties:
The density of states at the Fermi level comes out at 0.30 states/eV/atom. The uncorrected formation energy is -19.4 eV/f.u. As for the space-group type: No. 166.

Cell: 8.627 8.627 8.627 Å, 59.98 59.98 59.98°
Element x y z (fractional)
Li (0.000, 0.000, 0.000)
Ho (0.000, 0.000, 0.500)
Ho (0.000, 0.500, 0.000)
Ho (0.500, 0.000, 0.000)
Er (0.000, 0.500, 0.500)
Er (0.500, 0.000, 0.500)
Er (0.500, 0.500, 0.000)
Te (0.250, 0.250, 0.250)
Te (0.250, 0.250, 0.749)
Te (0.250, 0.749, 0.250)
Te (0.251, 0.750, 0.750)
Te (0.749, 0.250, 0.250)
Te (0.750, 0.251, 0.750)
Te (0.750, 0.750, 0.251)
Te (0.750, 0.750, 0.750)

# 4
First-principles (PBE) data for a relaxed structure of LiCa3Pa3N8, as listed in the Alexandria database.

Computed properties:
The density of states at the Fermi level comes out at 0.36 states/eV/atom. The uncorrected formation energy is -16.0 eV/f.u. As for the space-group type: No. 166.

Cell: 6.914 6.914 6.914 Å, 60.89 60.89 60.89°
Element x y z (fractional)
Li (0.000, 0.000, 0.000)
Ca (0.000, 0.000, 0.500)
Ca (0.000, 0.500, 0.000)
Ca (0.500, 0.000, 0.000)
Pa (0.000, 0.500, 0.500)
Pa (0.500, 0.000, 0.500)
Pa (0.500, 0.500, 0.000)
N (0.241, 0.241, 0.718)
N (0.241, 0.718, 0.241)
N (0.257, 0.257, 0.257)
N (0.282, 0.759, 0.759)
N (0.718, 0.241, 0.241)
N (0.743, 0.743, 0.743)
N (0.759, 0.282, 0.759)
N (0.759, 0.759, 0.282)

# 5
First-principles (PBE) data for a relaxed structure of CuI2O, as listed in the Alexandria database.

Computed properties:
The density of states at the Fermi level comes out at 0.98 states/eV/atom. The uncorrected formation energy is 3.1 eV/f.u. As for the space-group type: No. 225. The energy above the most stable polymorph in this dataset is 415 meV per atom.

Cell: 6.725 6.725 6.725 Å, 90.00 90.00 90.00°
Element x y z (fractional)
Cu (0.000, 0.000, 0.000)
Cu (0.000, 0.500, 0.500)
Cu (0.500, 0.000, 0.500)
Cu (0.500, 0.500, 0.000)
I (0.250, 0.250, 0.250)
I (0.250, 0.250, 0.750)
I (0.250, 0.750, 0.250)
I (0.250, 0.750, 0.750)
I (0.750, 0.250, 0.250)
I (0.750, 0.250, 0.750)
I (0.750, 0.750, 0.250)
I (0.750, 0.750, 0.750)
O (0.000, 0.000, 0.500)
O (0.000, 0.500, 0.000)
O (0.500, 0.000, 0.000)
O (0.500, 0.500, 0.500)

# 6
First-principles (PBE) data for a relaxed structure of Y2Zn2Tc2C, as listed in the Alexandria database.

Computed properties:
The density of states at the Fermi level comes out at 0.40 states/eV/atom. The calculated formation energy is -0.250 eV per atom. As for the space-group type: No. 12.

Cell: 10.974 3.435 6.795 Å, 90.00 107.62 90.00°
Element x y z (fractional)
Y (0.007, 0.000, 0.258)
Y (0.493, 0.500, 0.742)
Y (0.507, 0.500, 0.258)
Y (0.993, 0.000, 0.742)
Zn (0.193, 0.500, 0.608)
Zn (0.307, 0.000, 0.392)
Zn (0.693, 0.000, 0.608)
Zn (0.807, 0.500, 0.392)
Tc (0.189, 0.500, 0.081)
Tc (0.311, 0.000, 0.919)
Tc (0.689, 0.000, 0.081)
Tc (0.811, 0.500, 0.919)
C (0.000, 0.500, 0.000)
C (0.500, 0.000, 0.000)